i | VASP calculation (PBE) on a relaxed Cs2Mo2S crystal. Values from VASP.

```
&SYSTEM
  ibrav = 0, nat = 5, ntyp = 3
/
ATOMIC_SPECIES
Cs 132.91 Cs.upf
Mo 95.94 Mo.upf
S 32.06 S.upf
CELL_PARAMETERS angstrom
-3.658 3.658 3.589
3.658 -3.658 3.589
3.658 3.658 -3.589
ATOMIC_POSITIONS crystal
Cs 0.250 0.750 0.500
Cs 0.750 0.250 0.500
Mo 0.143 0.143 0.000
Mo 0.857 0.857 0.000
S 0.500 0.500 0.000
```

The value obtained for the volume is 192 Å³/cell. For the spin magnetization, the calculation gives 0.92 μB per formula unit. Its symmetry is I4/mmm, No. 139.

ii | VASP calculation (PBE) on a relaxed Cs2Mo2S crystal. Values from VASP.

```
&SYSTEM
  ibrav = 0, nat = 10, ntyp = 3
/
ATOMIC_SPECIES
Cs 132.91 Cs.upf
Mo 95.94 Mo.upf
S 32.06 S.upf
CELL_PARAMETERS angstrom
6.493 0.000 0.000
0.000 6.493 0.000
0.000 0.000 6.504
ATOMIC_POSITIONS crystal
Cs 0.183 0.317 0.000
Cs 0.317 0.817 0.000
Cs 0.683 0.183 0.000
Cs 0.817 0.683 0.000
Mo 0.124 0.624 0.500
Mo 0.376 0.124 0.500
Mo 0.624 0.876 0.500
Mo 0.876 0.376 0.500
S 0.000 0.000 0.500
S 0.500 0.500 0.500
```

The value obtained for the volume is 274 Å³/cell. For the spin magnetization, the calculation gives 0.01 μB per formula unit. Its symmetry is P4/mbm, No. 127.

Short version: i is the least stable of them.

i | VASP calculation (PBE) on a relaxed CsMo3S crystal. Values from VASP.

```
&SYSTEM
  ibrav = 0, nat = 5, ntyp = 3
/
ATOMIC_SPECIES
Cs 132.91 Cs.upf
Mo 95.94 Mo.upf
S 32.06 S.upf
CELL_PARAMETERS angstrom
4.938 0.000 0.000
0.000 4.938 0.000
0.000 0.000 4.938
ATOMIC_POSITIONS crystal
Cs 0.000 0.000 0.000
Mo 0.000 0.000 0.500
Mo 0.000 0.500 0.000
Mo 0.500 0.000 0.000
S 0.500 0.500 0.500
```

The value obtained for the volume is 120 Å³/cell. For the spin magnetization, the calculation gives 1.26 μB per formula unit. Its symmetry is Pm-3m, No. 221.

ii | VASP calculation (PBE) on a relaxed CsMo3S crystal. Values from VASP.

```
&SYSTEM
  ibrav = 0, nat = 5, ntyp = 3
/
ATOMIC_SPECIES
Cs 132.91 Cs.upf
Mo 95.94 Mo.upf
S 32.06 S.upf
CELL_PARAMETERS angstrom
4.656 0.000 0.000
0.000 4.656 0.000
0.000 0.000 4.656
ATOMIC_POSITIONS crystal
Cs 0.000 0.000 0.000
Mo 0.000 0.500 0.500
Mo 0.500 0.000 0.500
Mo 0.500 0.500 0.000
S 0.500 0.500 0.500
```

The value obtained for the volume is 101 Å³/cell. For the spin magnetization, the calculation gives 0.00 μB per formula unit. Its symmetry is Pm-3m, No. 221.

Short version: i is the least stable of them.

i | VASP calculation (PBE) on a relaxed CsSb3Mo crystal. Values from VASP.

```
&SYSTEM
  ibrav = 0, nat = 5, ntyp = 3
/
ATOMIC_SPECIES
Cs 132.91 Cs.upf
Sb 121.76 Sb.upf
Mo 95.94 Mo.upf
CELL_PARAMETERS angstrom
5.419 0.000 0.000
0.000 5.419 0.000
0.000 0.000 5.419
ATOMIC_POSITIONS crystal
Cs 0.000 0.000 0.000
Sb 0.000 0.500 0.500
Sb 0.500 0.000 0.500
Sb 0.500 0.500 0.000
Mo 0.500 0.500 0.500
```

The value obtained for the volume is 159 Å³/cell. For the spin magnetization, the calculation gives 0.00 μB per formula unit. Its symmetry is Pm-3m, No. 221.

ii | VASP calculation (PBE) on a relaxed CsSb3Mo crystal. Values from VASP.

```
&SYSTEM
  ibrav = 0, nat = 5, ntyp = 3
/
ATOMIC_SPECIES
Cs 132.91 Cs.upf
Sb 121.76 Sb.upf
Mo 95.94 Mo.upf
CELL_PARAMETERS angstrom
5.853 0.000 0.000
0.000 5.853 0.000
0.000 0.000 5.853
ATOMIC_POSITIONS crystal
Cs 0.000 0.000 0.000
Sb 0.000 0.000 0.500
Sb 0.000 0.500 0.000
Sb 0.500 0.000 0.000
Mo 0.500 0.500 0.500
```

The value obtained for the volume is 201 Å³/cell. For the spin magnetization, the calculation gives 0.00 μB per formula unit. Its symmetry is Pm-3m, No. 221.

Short version: ii is the least stable of them.

i | VASP calculation (PBE) on a relaxed CsSbTe2Mo crystal. Values from VASP.

```
&SYSTEM
  ibrav = 0, nat = 5, ntyp = 4
/
ATOMIC_SPECIES
Cs 132.91 Cs.upf
Sb 121.76 Sb.upf
Te 127.60 Te.upf
Mo 95.94 Mo.upf
CELL_PARAMETERS angstrom
5.554 0.000 0.000
0.000 5.554 0.000
0.000 0.000 5.325
ATOMIC_POSITIONS crystal
Cs 0.000 0.000 0.000
Sb 0.500 0.500 0.000
Te 0.000 0.500 0.500
Te 0.500 0.000 0.500
Mo 0.500 0.500 0.500
```

The value obtained for the volume is 164 Å³/cell. For the spin magnetization, the calculation gives 0.00 μB per formula unit. Its symmetry is P4/mmm, No. 123.

ii | VASP calculation (PBE) on a relaxed CsSbTe2Mo crystal. Values from VASP.

```
&SYSTEM
  ibrav = 0, nat = 5, ntyp = 4
/
ATOMIC_SPECIES
Cs 132.91 Cs.upf
Sb 121.76 Sb.upf
Te 127.60 Te.upf
Mo 95.94 Mo.upf
CELL_PARAMETERS angstrom
6.136 0.000 0.000
0.000 6.136 0.000
0.000 0.000 6.025
ATOMIC_POSITIONS crystal
Cs 0.000 0.000 0.000
Sb 0.000 0.000 0.500
Te 0.000 0.500 0.000
Te 0.500 0.000 0.000
Mo 0.500 0.500 0.500
```

The value obtained for the volume is 227 Å³/cell. For the spin magnetization, the calculation gives 0.53 μB per formula unit. Its symmetry is P4/mmm, No. 123.

Short version: ii is the least stable of them.

i | VASP calculation (PBE) on a relaxed CsScMo2 crystal. Values from VASP.

```
&SYSTEM
  ibrav = 0, nat = 8, ntyp = 3
/
ATOMIC_SPECIES
Cs 132.91 Cs.upf
Sc 44.96 Sc.upf
Mo 95.94 Mo.upf
CELL_PARAMETERS angstrom
-4.042 4.042 2.780
4.042 -4.042 2.780
4.042 4.042 -2.780
ATOMIC_POSITIONS crystal
Cs 0.000 0.000 0.000
Cs 0.750 0.250 0.500
Sc 0.250 0.750 0.500
Sc 0.500 0.500 0.000
Mo 0.140 0.625 0.015
Mo 0.375 0.390 0.515
Mo 0.610 0.125 0.985
Mo 0.875 0.860 0.485
```

The value obtained for the volume is 182 Å³/cell. For the spin magnetization, the calculation gives 0.00 μB per formula unit. Its symmetry is I-42d, No. 122.

ii | VASP calculation (PBE) on a relaxed CsScMo2 crystal. Values from VASP.

```
&SYSTEM
  ibrav = 0, nat = 4, ntyp = 3
/
ATOMIC_SPECIES
Cs 132.91 Cs.upf
Sc 44.96 Sc.upf
Mo 95.94 Mo.upf
CELL_PARAMETERS angstrom
0.000 3.441 3.441
3.441 0.000 3.441
3.441 3.441 0.000
ATOMIC_POSITIONS crystal
Cs 0.000 0.000 0.000
Sc 0.500 0.500 0.500
Mo 0.250 0.250 0.250
Mo 0.750 0.750 0.750
```

The value obtained for the volume is 82 Å³/cell. For the spin magnetization, the calculation gives 0.00 μB per formula unit. Its symmetry is Fm-3m, No. 225.

Short version: i is the least stable of them.

i | VASP calculation (PBE) on a relaxed CsSc3Mo crystal. Values from VASP.

```
&SYSTEM
  ibrav = 0, nat = 5, ntyp = 3
/
ATOMIC_SPECIES
Cs 132.91 Cs.upf
Sc 44.96 Sc.upf
Mo 95.94 Mo.upf
CELL_PARAMETERS angstrom
5.325 0.000 0.000
0.000 5.325 0.000
0.000 0.000 5.325
ATOMIC_POSITIONS crystal
Cs 0.000 0.000 0.000
Sc 0.000 0.500 0.500
Sc 0.500 0.000 0.500
Sc 0.500 0.500 0.000
Mo 0.500 0.500 0.500
```

The value obtained for the volume is 151 Å³/cell. For the spin magnetization, the calculation gives 0.00 μB per formula unit. Its symmetry is Pm-3m, No. 221.

ii | VASP calculation (PBE) on a relaxed CsSc3Mo crystal. Values from VASP.

```
&SYSTEM
  ibrav = 0, nat = 5, ntyp = 3
/
ATOMIC_SPECIES
Cs 132.91 Cs.upf
Sc 44.96 Sc.upf
Mo 95.94 Mo.upf
CELL_PARAMETERS angstrom
5.101 0.000 0.000
0.000 5.101 0.000
0.000 0.000 5.101
ATOMIC_POSITIONS crystal
Cs 0.000 0.000 0.000
Sc 0.000 0.000 0.500
Sc 0.000 0.500 0.000
Sc 0.500 0.000 0.000
Mo 0.500 0.500 0.500
```

The value obtained for the volume is 133 Å³/cell. For the spin magnetization, the calculation gives 0.00 μB per formula unit. Its symmetry is Pm-3m, No. 221.

Short version: ii is the least stable of them.